No. 1
Computed, not measured: a relaxed structure of Sc2AgPd8 at the PBE level of DFT.

a b c (Å): 4.0915 6.4138 7.4584
angles (deg): 106.40 105.92 90.00
Fractional positions:
Pd 0.3228 0.0919 0.6457
Pd 0.5962 0.4552 0.1925
Pd 0.8549 0.8036 0.7097
Pd 0.9587 0.2771 0.9175
Pd 0.4038 0.5448 0.8075
Pd 0.1451 0.1964 0.2903
Pd 0.0413 0.7229 0.0825
Pd 0.6772 0.9081 0.3543
Ag 0.5000 0.0000 0.0000
Sc 0.7814 0.3358 0.5627
Sc 0.2186 0.6642 0.4373

Values from the calculation:
For the energy of formation from the pure elements, the calculation gives -0.540 eV/atom. The space group is C2/m, No. 12.


No. 2
Computed, not measured: a relaxed structure of TaBePd2Br at the PBE level of DFT.

a b c (Å): 4.8437 3.9839 4.8437
angles (deg): 90.00 90.00 90.00
Fractional positions:
Br 0.0000 0.0000 0.0000
Be 0.0000 0.5000 0.0000
Pd 0.5000 0.0000 0.0000
Pd 0.0000 0.0000 0.5000
Ta 0.5000 0.5000 0.5000

Values from the calculation:
The space group is P4/mmm, No. 123. The formation energy without anion corrections is 1264 meV/atom.


No. 3
Computed, not measured: a relaxed structure of CuTeIrN2 at the PBE level of DFT.

a b c (Å): 3.7278 3.7278 6.2726
angles (deg): 90.00 90.00 90.00
Fractional positions:
N 0.5000 0.0000 0.0000
N 0.0000 0.5000 0.0000
Ir 0.5000 0.5000 0.5000
Cu 0.0000 0.0000 0.0000
Te 0.0000 0.0000 0.5000

Values from the calculation:
As for the energy above the most stable polymorph in this dataset: 93.1 kJ/mol of atoms. The space group is P4/mmm, No. 123. The formation energy without anion corrections is 1763 meV/atom.


No. 4
Computed, not measured: a relaxed structure of Sc5Co6 at the PBE level of DFT.

a b c (Å): 4.2794 6.2400 7.4544
angles (deg): 114.74 106.68 90.00
Fractional positions:
Sc 0.6742 0.6742 0.3485
Sc 0.3258 0.3258 0.6515
Sc 0.0000 0.5000 0.0000
Sc 0.6474 0.1474 0.2948
Sc 0.3526 0.8526 0.7052
Co 0.1661 0.4195 0.3322
Co 0.8339 0.5805 0.6678
Co 0.8339 0.0872 0.6678
Co 0.5000 0.7296 0.0000
Co 0.1661 0.9128 0.3322
Co 0.5000 0.2704 0.0000

Values from the calculation:
For the energy of formation from the pure elements, the calculation gives -0.058 eV/atom. The space group is Immm, No. 71.


No. 5
Computed, not measured: a relaxed structure of LiInSn at the PBE level of DFT.

a b c (Å): 6.7630 3.1979 3.2721
angles (deg): 90.00 103.19 90.00
Fractional positions:
In 0.7712 0.5000 0.0493
Sn 0.3662 0.5000 0.3411
Li 0.0724 0.0000 0.6986

Values from the calculation:
For the energy of formation from the pure elements, the calculation gives -0.184 eV/atom. The space group is Pm, No. 6.


No. 6
Computed, not measured: a relaxed structure of La2FeCl2 at the PBE level of DFT.

a b c (Å): 8.3372 8.3372 3.4583
angles (deg): 90.00 90.00 90.00
Fractional positions:
Cl 0.1238 0.3762 0.0000
Cl 0.3762 0.8762 0.0000
Cl 0.6238 0.1238 0.0000
Cl 0.8762 0.6238 0.0000
La 0.6791 0.8209 0.5000
La 0.1791 0.6791 0.5000
La 0.8209 0.3209 0.5000
La 0.3209 0.1791 0.5000
Fe 0.0000 0.0000 0.0000
Fe 0.5000 0.5000 0.0000

Values from the calculation:
As for the energy above the most stable polymorph in this dataset: 4.9 kJ/mol of atoms. The space group is P4/mbm, No. 127. The formation energy without anion corrections is -745 meV/atom.


No. 7
Computed, not measured: a relaxed structure of SrFeSiW2 at the PBE level of DFT.

a b c (Å): 4.5708 5.3721 4.5708
angles (deg): 90.00 90.00 90.00
Fractional positions:
Sr 0.0000 0.5000 0.0000
W 0.0000 0.0000 0.5000
W 0.5000 0.0000 0.0000
Fe 0.5000 0.5000 0.5000
Si 0.0000 0.0000 0.0000

Values from the calculation:
The space group is P4/mmm, No. 123. The formation energy without anion corrections is 1781 meV/atom.


No. 8
Computed, not measured: a relaxed structure of InHgSbAu at the PBE level of DFT.

a b c (Å): 4.5436 4.5436 12.3943
angles (deg): 79.44 79.44 60.00
Fractional positions:
Hg 0.8082 0.8082 0.5754
Hg 0.1918 0.1918 0.4246
In 0.9058 0.9058 0.2827
In 0.0942 0.0942 0.7173
Sb 0.3016 0.3016 0.0952
Sb 0.6984 0.6984 0.9048
Au 0.3911 0.3911 0.8266
Au 0.6089 0.6089 0.1734

Values from the calculation:
The space group is R-3m, No. 166. The formation energy without anion corrections is -22 meV/atom.


No. 9
Computed, not measured: a relaxed structure of RbAg3Mo at the PBE level of DFT.

a b c (Å): 5.6409 5.6409 5.6409
angles (deg): 90.00 90.00 90.00
Fractional positions:
Mo 0.5000 0.5000 0.5000
Ag 0.5000 0.0000 0.0000
Ag 0.0000 0.0000 0.5000
Ag 0.0000 0.5000 0.0000
Rb 0.0000 0.0000 0.0000

Values from the calculation:
For the energy of formation from the pure elements, the calculation gives 1.985 eV/atom. As for the energy above the most stable polymorph in this dataset: 95.9 kJ/mol of atoms. The space group is Pm-3m, No. 221.


No. 10
Computed, not measured: a relaxed structure of NbBiN2Cl at the PBE level of DFT.

a b c (Å): 4.3358 5.2928 4.3358
angles (deg): 90.00 90.00 90.00
Fractional positions:
N 0.5000 0.0000 0.0000
N 0.0000 0.0000 0.5000
Nb 0.5000 0.5000 0.5000
Bi 0.0000 0.0000 0.0000
Cl 0.0000 0.5000 0.0000

Values from the calculation:
The space group is P4/mmm, No. 123. The formation energy without anion corrections is 1709 meV/atom.


No. 11
Computed, not measured: a relaxed structure of InP2OF at the PBE level of DFT.

a b c (Å): 3.9939 3.9939 5.0210
angles (deg): 90.00 90.00 90.00
Fractional positions:
In 0.5000 0.5000 0.5000
O 0.0000 0.0000 0.5000
P 0.0000 0.5000 0.0000
P 0.5000 0.0000 0.0000
F 0.0000 0.0000 0.0000

Values from the calculation:
As for the energy above the most stable polymorph in this dataset: 0.0 kJ/mol of atoms. The space group is P4/mmm, No. 123. The formation energy without anion corrections is 480 meV/atom.